ErReAsO: relaxed, GGA-PBE.

Properties
For the relative energy among the computed polymorphs, the calculation gives 0.560 eV/atom.

The structure in CIF format:
```
data_ErReAsO
_chemical_formula_sum 'Er2 Re2 As2 O2'
_cell_length_a 4.187
_cell_length_b 6.046
_cell_length_c 5.524
_cell_angle_alpha 90.00
_cell_angle_beta 90.00
_cell_angle_gamma 90.00
_space_group_name_H-M_alt 'P m c 21'
_space_group_IT_number 26
_space_group_name_Hall 'P 2c -2'
loop_
_atom_site_label
_atom_site_type_symbol
_atom_site_fract_x
_atom_site_fract_y
_atom_site_fract_z
Er1 Er 0.000 0.191 0.000
Re1 Re 0.500 0.484 0.773
As1 As 0.000 0.309 0.510
O1 O 0.500 0.230 0.050
```